No. 1
Here is crystalline RbMg2GaF8 at its relaxed geometry from Alexandria. Energies are from PBE.

Computed properties:
The value obtained for the total magnetic moment is 0.06 μB/cell. The uncorrected energy is -4.911 eV/atom. As for the raw formation energy: -3.065 eV/atom. Its density of states at the Fermi level is 0.0 states/eV per cell. As for the symmetry: P-1.

Cell: 5.1865 5.1895 7.3796 Å, 76.29 76.35 74.11°
With the nearest neighbours (Å) after each atom.
Fractional coordinates of all 12 atoms:
F  0.7660  0.2151  0.1873  1 Ga 1.96, 1 Mg 1.96
Rb  0.0000  0.0000  0.5000  6 F 2.72-2.92
F  0.2340  0.7849  0.8127  1 Ga 1.96, 1 Mg 1.96
Mg  0.5518  0.5521  0.2739  5 F 1.95-2.03
F  0.7615  0.7649  0.0665  1 Ga 1.88, 1 Mg 1.95
F  0.2131  0.7638  0.1883  1 Mg 1.96, 1 Ga 1.96
F  0.3517  0.3476  0.5112  2 Mg 1.99-2.03
F  0.6483  0.6524  0.4888  2 Mg 1.99-2.03
F  0.2385  0.2351  0.9335  1 Ga 1.88, 1 Mg 1.95
F  0.7869  0.2362  0.8117  1 Mg 1.96, 1 Ga 1.96
Ga  0.0000  0.0000  0.0000  6 F 1.88-1.96
Mg  0.4482  0.4479  0.7261  5 F 1.95-2.03

=====

No. 2
Here is crystalline SmCoBr at its relaxed geometry from Alexandria. Energies are from PBE.

Computed properties:
The value obtained for the total magnetic moment is 0.55 μB/cell. The uncorrected energy is -5.479 eV/atom. As for the raw formation energy: -0.979 eV/atom. Its density of states at the Fermi level is 3.7 states/eV per cell. As for the symmetry: Cm.

Cell: 3.9689 3.9688 11.9212 Å, 80.70 80.42 60.00°
With the nearest neighbours (Å) after each atom.
Fractional coordinates of all 6 atoms:
Co  0.7694  0.4554  0.0058  3 Co 2.29
Co  0.4361  0.1221  0.0058  3 Co 2.29
Br  0.5497  0.2263  0.6744  3 Sm 3.02
Sm  0.0470  0.7372  0.1689  6 Co 2.98, 3 Br 3.02
Br  0.3226  0.0178  0.3371  3 Sm 3.02
Sm  0.1586  0.8402  0.8427  6 Co 2.98, 3 Br 3.02

=====

No. 3
Here is crystalline NbC at its relaxed geometry from Alexandria. Energies are from PBE.

Computed properties:
The value obtained for the total magnetic moment is 0.00 μB/cell. The uncorrected energy is -10.048 eV/atom. The energy relative to the lowest polymorph listed for this composition comes out at 0.071 eV/atom. Its density of states at the Fermi level is 1.8 states/eV per cell. For the formation energy, the calculation gives -0.401 eV per atom. As for the symmetry: R3m.

Cell: 3.1380 3.1380 16.3832 Å, 90.00 90.00 120.00°
With the nearest neighbours (Å) after each atom.
Fractional coordinates of all 12 atoms:
Nb  0.6667  0.3333  0.3501  6 C 2.20-2.31
Nb  0.0000  0.0000  0.1952  6 C 2.22-2.35
C  0.6667  0.3333  0.9403  6 Nb 2.20-2.22
C  0.3333  0.6667  0.2737  6 Nb 2.20-2.22
Nb  0.0000  0.0000  0.0168  6 C 2.20-2.31
Nb  0.3333  0.6667  0.6835  6 C 2.20-2.31
C  0.3333  0.6667  0.1039  6 Nb 2.31-2.35
Nb  0.6667  0.3333  0.5285  6 C 2.22-2.35
C  0.0000  0.0000  0.4373  6 Nb 2.31-2.35
C  0.6667  0.3333  0.7706  6 Nb 2.31-2.35
C  0.0000  0.0000  0.6070  6 Nb 2.20-2.22
Nb  0.3333  0.6667  0.8619  6 C 2.22-2.35

=====

No. 4
Here is crystalline ZnSnO3 at its relaxed geometry from Alexandria. Energies are from PBE.

Computed properties:
The value obtained for the total magnetic moment is 0.00 μB/cell. The uncorrected energy is -4.872 eV/atom. As for the raw formation energy: -0.842 eV/atom. Its density of states at the Fermi level is 0.8 states/eV per cell. As for the symmetry: Pm-3m.

Cell: 3.9890 3.9890 3.9890 Å, 90.00 90.00 90.00°
With the nearest neighbours (Å) after each atom.
Fractional coordinates of all 5 atoms:
O  0.0000  0.5000  0.0000  2 Sn 1.99
O  0.0000  0.0000  0.5000  2 Sn 1.99
Sn  0.0000  0.0000  0.0000  6 O 1.99
Zn  0.5000  0.5000  0.5000  12 O 2.82
O  0.5000  0.0000  0.0000  2 Sn 1.99

=====

No. 5
Here is crystalline ZrInAg2Sn at its relaxed geometry from Alexandria. Energies are from PBE.

Computed properties:
The value obtained for the total magnetic moment is 0.58 μB/cell. The uncorrected energy is -3.370 eV/atom. Its density of states at the Fermi level is 3.2 states/eV per cell. For the formation energy, the calculation gives 0.828 eV per atom. As for the symmetry: P4/mmm.

Cell: 5.0036 5.5699 5.0036 Å, 90.00 90.00 90.00°
With the nearest neighbours (Å) after each atom.
Fractional coordinates of all 5 atoms:
Ag  0.0000  0.0000  0.5000  2 Sn 2.50
In  0.0000  0.5000  0.0000  2 Sn 2.78
Zr  0.5000  0.5000  0.5000  4 In 3.54, 8 Ag 3.74
Ag  0.5000  0.0000  0.0000  2 Sn 2.50
Sn  0.0000  0.0000  0.0000  4 Ag 2.50, 2 In 2.78

=====

No. 6
Here is crystalline La2Tb3Cd2 at its relaxed geometry from Alexandria. Energies are from PBE.

Computed properties:
The value obtained for the total magnetic moment is 0.00 μB/cell. The uncorrected energy is -3.780 eV/atom. Its density of states at the Fermi level is 8.5 states/eV per cell. For the formation energy, the calculation gives -0.127 eV per atom. As for the symmetry: Cmmm.

Cell: 3.6446 3.5955 16.4503 Å, 90.00 96.36 90.00°
With the nearest neighbours (Å) after each atom.
Fractional coordinates of all 7 atoms:
Tb  0.4252  0.5000  0.8504  4 Cd 3.24, 6 Tb 3.54-3.60
Tb  0.5748  0.5000  0.1496  4 Cd 3.24, 6 Tb 3.54-3.60
La  0.2953  0.5000  0.5906  4 Cd 3.42, 6 La 3.48-3.64
Tb  0.0000  0.0000  0.0000  12 Tb 3.54-3.64
La  0.7047  0.5000  0.4094  4 Cd 3.42, 6 La 3.48-3.64
Cd  0.1356  0.0000  0.2712  4 Tb 3.24, 4 La 3.42, 2 Cd 3.60
Cd  0.8644  0.0000  0.7288  4 Tb 3.24, 4 La 3.42, 2 Cd 3.60

=====

No. 7
Here is crystalline Hf2Ru2F at its relaxed geometry from Alexandria. Energies are from PBE.

Computed properties:
The value obtained for the total magnetic moment is 0.00 μB/cell. The uncorrected energy is -8.525 eV/atom. As for the raw formation energy: -0.459 eV/atom. The energy relative to the lowest polymorph listed for this composition comes out at 0.000 eV/atom. Its density of states at the Fermi level is 6.3 states/eV per cell. As for the symmetry: P4/mbm.

Cell: 7.4621 7.4621 3.1609 Å, 90.00 90.00 90.00°
With the nearest neighbours (Å) after each atom.
Fractional coordinates of all 10 atoms:
F  0.0000  0.0000  0.0000  4 Ru 2.90, 2 F 3.16, 8 Hf 3.23
Ru  0.3631  0.8631  0.0000  6 Hf 2.70, 1 Ru 2.89, 2 F 2.90
Ru  0.6369  0.1369  0.0000  6 Hf 2.70, 1 Ru 2.89, 2 F 2.90
Ru  0.8631  0.6369  0.0000  6 Hf 2.70, 1 Ru 2.89, 2 F 2.90
Hf  0.6561  0.8439  0.5000  6 Ru 2.70
F  0.5000  0.5000  0.0000  4 Ru 2.90, 2 F 3.16, 8 Hf 3.23
Ru  0.1369  0.3631  0.0000  6 Hf 2.70, 1 Ru 2.89, 2 F 2.90
Hf  0.3439  0.1561  0.5000  6 Ru 2.70
Hf  0.1561  0.6561  0.5000  6 Ru 2.70
Hf  0.8439  0.3439  0.5000  6 Ru 2.70

=====

No. 8
Here is crystalline KCa at its relaxed geometry from Alexandria. Energies are from PBE.

Computed properties:
The value obtained for the total magnetic moment is 0.00 μB/cell. The uncorrected energy is -0.999 eV/atom. Its density of states at the Fermi level is 20.9 states/eV per cell. For the formation energy, the calculation gives 0.550 eV per atom. As for the symmetry: I-43m.

Cell: 12.5261 12.5261 12.5261 Å, 90.00 90.00 90.00°
With the nearest neighbours (Å) after each atom.
Fractional coordinates of all 16 atoms:
Ca  0.3955  0.3955  0.3955  3 Ca 3.70, 1 K 4.12
K  0.7945  0.7945  0.2055  4 Ca 4.12-4.28
Ca  0.8955  0.1045  0.1045  3 Ca 3.70, 1 K 4.12
Ca  0.1045  0.1045  0.8955  3 Ca 3.70, 1 K 4.12
Ca  0.6045  0.3955  0.6045  3 Ca 3.70, 1 K 4.12
Ca  0.8955  0.8955  0.8955  3 Ca 3.70, 1 K 4.12
Ca  0.3955  0.6045  0.6045  3 Ca 3.70, 1 K 4.12
K  0.2945  0.2945  0.7055  4 Ca 4.12-4.28
K  0.2055  0.2055  0.2055  4 Ca 4.12-4.28
K  0.2055  0.7945  0.7945  4 Ca 4.12-4.28
Ca  0.1045  0.8955  0.1045  3 Ca 3.70, 1 K 4.12
K  0.2945  0.7055  0.2945  4 Ca 4.12-4.28
K  0.7055  0.2945  0.2945  4 Ca 4.12-4.28
Ca  0.6045  0.6045  0.3955  3 Ca 3.70, 1 K 4.12
K  0.7945  0.2055  0.7945  4 Ca 4.12-4.28
K  0.7055  0.7055  0.7055  4 Ca 4.12-4.28